(1)
VASP calculation (PBE) on a geometry-optimized InReRh2 structure.

```
4
Lattice="-3.187 1.160 8.445 -4.595 -1.230 7.759 -1.933 -1.384 8.785" Properties=species:S:1:pos:R:3 pbc="T T T"
In -4.858 -0.727 12.494
Re 0.000 0.000 0.000
Rh -7.250 -1.086 18.648
Rh -2.465 -0.369 6.341
```

- Space-group type: R-3m
- VASP energy: -29.8 eV/cell

---

(2)
VASP calculation (PBE) on a geometry-optimized InRe4Rh structure.

```
6
Lattice="0.000 3.690 3.690 3.690 0.000 3.690 3.690 3.690 0.000" Properties=species:S:1:pos:R:3 pbc="T T T"
In 0.000 0.000 0.000
Re 2.772 4.607 4.607
Re 4.607 4.607 2.772
Re 4.607 2.772 4.607
Re 2.772 2.772 2.772
Rh 5.535 5.535 5.535
```

- Space-group type: F-43m
- VASP energy: -56.7 eV/cell

---

(3)
VASP calculation (PBE) on a geometry-optimized InReRh2 structure.

```
4
Lattice="-4.138 0.575 -2.193 -0.780 -4.647 0.254 -1.284 0.353 2.516" Properties=species:S:1:pos:R:3 pbc="T T T"
In -3.101 -1.859 0.289
Re -0.642 0.177 1.258
Rh -2.069 0.287 -1.096
Rh -0.390 -2.323 0.127
```

- Space-group type: P4/mmm
- VASP energy: -29.4 eV/cell

---

| no. | calculated formation energy (meV per atom) |
| --- | --- |
| 1 | 31.2 |
| 2 | 531.7 |
| 3 | 119.2 |